Record 1
Here is NdTh6Sc2 after structural relaxation from Alexandria. Energies are from PBE.

Computed properties:
* size of the total moment: 0.000 μB/atom
* calculated formation energy: 294 meV per atom
* SG: No. 12

a = 7.563 Å, b = 6.909 Å, c = 9.224 Å
α = 111.99°, β = 44.40°, γ = 90.00°
Sites, in units of the cell vectors:
Nd 0.000 0.000 0.000
Th 0.877 0.158 0.771
Th 0.409 0.346 0.693
Th 0.877 0.613 0.771
Th 0.123 0.842 0.229
Th 0.591 0.654 0.307
Th 0.123 0.387 0.229
Sc 0.419 0.138 0.277
Sc 0.581 0.862 0.723

---

Record 2
Here is NdTh14Sc after structural relaxation from Alexandria. Energies are from PBE.

Computed properties:
* size of the total moment: 0.000 μB/atom
* calculated formation energy: 42 meV per atom
* SG: No. 38

a = 7.158 Å, b = 7.158 Å, c = 11.551 Å
α = 90.00°, β = 90.00°, γ = 120.04°
Sites, in units of the cell vectors:
Nd 0.040 0.960 0.500
Th 0.208 0.792 0.000
Th 0.708 0.292 0.000
Th 0.041 0.453 0.500
Th 0.210 0.293 0.000
Th 0.547 0.959 0.500
Th 0.707 0.790 0.000
Th 0.377 0.127 0.749
Th 0.377 0.127 0.251
Th 0.873 0.623 0.749
Th 0.873 0.623 0.251
Th 0.376 0.624 0.748
Th 0.376 0.624 0.252
Th 0.875 0.125 0.753
Th 0.875 0.125 0.247
Sc 0.540 0.460 0.500

---

Record 3
Here is NdThSc4 after structural relaxation from Alexandria. Energies are from PBE.

Computed properties:
* ΔE to the lowest computed polymorph: 149 meV per atom
* size of the total moment: 0.000 μB/atom
* calculated formation energy: 208 meV per atom
* SG: No. 12

a = 3.200 Å, b = 5.668 Å, c = 9.703 Å
α = 86.20°, β = 80.51°, γ = 73.60°
Sites, in units of the cell vectors:
Nd 0.000 0.000 0.000
Th 0.500 0.500 0.500
Sc 0.656 0.529 0.159
Sc 0.344 0.471 0.841
Sc 0.155 0.036 0.654
Sc 0.845 0.964 0.346

---

Record 4
Here is NdThSc after structural relaxation from Alexandria. Energies are from PBE.

Computed properties:
* ΔE to the lowest computed polymorph: 7 meV per atom
* size of the total moment: 0.000 μB/atom
* calculated formation energy: 59 meV per atom
* SG: No. 107

a = 3.554 Å, b = 3.554 Å, c = 7.693 Å
α = 103.35°, β = 103.35°, γ = 90.00°
Sites, in units of the cell vectors:
Sc 0.675 0.675 0.350
Nd 0.998 0.998 0.996
Th 0.327 0.327 0.654

---

Record 5
Here is Nd2ThSc3 after structural relaxation from Alexandria. Energies are from PBE.

Computed properties:
* size of the total moment: 0.000 μB/atom
* calculated formation energy: 394 meV per atom
* SG: No. 71

a = 3.251 Å, b = 6.362 Å, c = 9.429 Å
α = 109.72°, β = 99.93°, γ = 90.00°
Sites, in units of the cell vectors:
Nd 0.681 0.181 0.361
Nd 0.319 0.819 0.639
Th 0.000 0.500 0.000
Sc 0.349 0.349 0.699
Sc 0.000 0.000 0.000
Sc 0.651 0.651 0.301

---

Record 6
Here is NdTh2Sc3 after structural relaxation from Alexandria. Energies are from PBE.

Computed properties:
* ΔE to the lowest computed polymorph: 0 meV per atom
* size of the total moment: 0.000 μB/atom
* calculated formation energy: 22 meV per atom
* SG: No. 123

a = 3.507 Å, b = 3.507 Å, c = 14.015 Å
α = 90.00°, β = 90.00°, γ = 90.00°
Sites, in units of the cell vectors:
Nd 0.500 0.500 0.500
Th 0.500 0.500 0.835
Th 0.500 0.500 0.165
Sc 0.000 0.000 0.000
Sc 0.000 0.000 0.673
Sc 0.000 0.000 0.327